BaSnHg2 | PBE | relaxed

Properties
Calculated total energy = -1.959 eV per atom

```
data_BaSnHg2
_cell_length_a 7.8586
_cell_length_b 7.8586
_cell_length_c 7.8586
_cell_angle_alpha 90.00
_cell_angle_beta 90.00
_cell_angle_gamma 90.00
_space_group_name_H-M_alt 'F -4 3 m'
_space_group_IT_number 216
_space_group_name_Hall 'F -4 2 3'
loop_
_atom_site_label
_atom_site_fract_x
_atom_site_fract_y
_atom_site_fract_z
Ba1 0.0000 0.0000 0.0000
Sn1 0.2500 0.2500 0.2500
Hg1 0.0000 0.0000 0.5000
Hg2 0.2500 0.2500 0.7500
```



BaSnHg2 | PBE | relaxed

Properties
Calculated total energy = -2.055 eV per atom

```
data_BaSnHg2
_cell_length_a 5.3084
_cell_length_b 7.3332
_cell_length_c 12.9818
_cell_angle_alpha 90.00
_cell_angle_beta 90.00
_cell_angle_gamma 90.00
_space_group_name_H-M_alt 'A m m 2'
_space_group_IT_number 38
loop_
_space_group_symop_operation_xyz
'x,y,z'
'-x,-y,z'
'-x,y,z'
'x,-y,z'
'x,y+1/2,z+1/2'
'-x,-y+1/2,z+1/2'
'-x,y+1/2,z+1/2'
'x,-y+1/2,z+1/2'
loop_
_atom_site_label
_atom_site_fract_x
_atom_site_fract_y
_atom_site_fract_z
Ba1 0.0000 0.0000 0.0000
Ba2 0.5000 0.0000 0.3356
Sn1 0.5000 0.2016 0.6015
Hg1 0.0000 0.0000 0.5098
Hg2 0.0000 0.2275 0.7407
Hg3 0.5000 0.0000 0.8180
```